Record 1
{"formula": "Al2PtW", "functional": "PBE-GGA", "state": "relaxed", "cell": [[2.812, 0.000, 0.000], [0.000, 3.479, 0.000], [0.000, 0.000, 6.120]], "species": ["W", "Pt", "Al", "Al"], "fractional_positions": [[0.500, 0.500, 0.750], [0.500, 0.500, 0.250], [0.000, 0.000, 0.006], [0.000, 0.000, 0.494]]}

---

Record 2
{"formula": "AlPt3W", "functional": "PBE-GGA", "state": "relaxed", "cell": [[-4.839, -0.169, -0.445], [-0.067, -4.260, 2.341], [-0.471, 2.336, 4.238]], "species": ["W", "Pt", "Pt", "Pt", "Al"], "fractional_positions": [[0.000, 0.000, 0.000], [0.000, 0.500, 0.000], [0.000, 0.000, 0.500], [0.500, 0.000, 0.000], [0.500, 0.500, 0.500]]}

---

Record 3
{"formula": "AlPtW", "functional": "PBE-GGA", "state": "relaxed", "cell": [[-3.303, -1.935, 2.126], [3.477, -2.351, -1.247], [1.235, 0.545, 2.414]], "species": ["W", "Pt", "Al"], "fractional_positions": [[0.333, 0.667, 0.667], [0.667, 0.333, 0.167], [0.000, 0.000, 0.166]]}

---

Record 4
{"formula": "Al2PtW", "functional": "PBE-GGA", "state": "relaxed", "cell": [[-4.491, 2.475, 1.289], [-3.402, -2.904, 2.820], [4.708, 2.378, -0.365]], "species": ["W", "Pt", "Al", "Al"], "fractional_positions": [[0.250, 0.750, 0.500], [0.750, 0.250, 0.500], [0.989, 0.989, 0.000], [0.511, 0.511, 0.000]]}

---

Record 5
{"formula": "Al2PtW", "functional": "PBE-GGA", "state": "relaxed", "cell": [[6.915, 0.000, 0.000], [0.000, 6.915, 0.000], [3.457, 3.457, 2.795]], "species": ["W", "W", "Pt", "Pt", "Al", "Al", "Al", "Al"], "fractional_positions": [[0.500, 0.500, 0.000], [0.250, 0.750, 0.500], [0.000, 0.000, 0.000], [0.750, 0.250, 0.500], [0.650, 0.125, 0.250], [0.100, 0.625, 0.250], [0.375, 0.350, 0.750], [0.875, 0.900, 0.750]]}

---

Record 6
{"formula": "Al2PtW", "functional": "PBE-GGA", "state": "relaxed", "cell": [[2.767, 0.010, 0.000], [-0.011, 2.768, 0.000], [0.000, 0.000, 8.162]], "species": ["W", "Pt", "Al", "Al"], "fractional_positions": [[0.500, 0.500, 0.746], [0.000, 0.000, 0.496], [0.000, 0.000, 0.992], [0.500, 0.500, 0.266]]}

---

Number 1: E above lowest polymorph 24 meV/atom, E_tot -7.04 eV/atom. Number 2: E above lowest polymorph 157 meV/atom, E_tot -5.90 eV/atom. Number 3: E above lowest polymorph 143 meV/atom, E_tot -7.81 eV/atom. Number 4: E above lowest polymorph 210 meV/atom, E_tot -6.85 eV/atom. Number 5: E above lowest polymorph 594 meV/atom, E_tot -6.47 eV/atom. Number 6: E above lowest polymorph 194 meV/atom, E_tot -6.87 eV/atom.